[1]
Ac2PuSn3Ir4 | PBE-GGA | optimized geometry

The volume comes out at 23.52 A^3/atom. Its density of states at the Fermi level is 9.043 states/eV/cell.

It has space group P-4m2 (No. 115), with a = 4.547 Å, b = 4.547 Å, c = 11.379 Å, α = 90.00°, β = 90.00° and γ = 90.00°. The inequivalent atoms are Ac at (0.000, 0.500, 0.238), Pu at (0.000, 0.000, 0.500), Sn at (0.000, 0.500, 0.875), Sn at (0.500, 0.500, 0.500), Ir at (0.000, 0.000, 0.000), Ir at (0.000, 0.500, 0.641) and Ir at (0.500, 0.500, 0.000).

---

[2]
RbAc3Ir | PBE-GGA | optimized geometry

The volume comes out at 44.33 A^3/atom. Its density of states at the Fermi level is 2.493 states/eV/cell.

It has space group Pm-3m (No. 221), with a = 6.052 Å, b = 6.052 Å, c = 6.052 Å, α = 90.00°, β = 90.00° and γ = 90.00°. The inequivalent atoms are Rb at (0.000, 0.000, 0.000), Ac at (0.000, 0.500, 0.500) and Ir at (0.500, 0.500, 0.500).

---

| no. | DFT total energy (eV/atom) | ρ (g cm⁻³) |
| --- | --- | --- |
| 1 | -7.588 | 12.87 |
| 2 | -4.625 | 7.18 |